No. 1
## La6PtPb2 (PBE)

Data for an optimized crystal structure of La6PtPb2.

It has space group P-62m (No. 189), with a = 8.7799 Å, b = 8.7799 Å, c = 4.3639 Å, α = 90.00°, β = 90.00° and γ = 120.00°. Symmetry generates all atoms from La at (0.0000, 0.4086, 0.0000), La at (0.0000, 0.7592, 0.5000), Pt at (0.0000, 0.0000, 0.0000) and Pb at (0.3333, 0.6667, 0.5000).

Its total energy is -48.42 eV for the cell shown.


No. 2
## La4PtPb (PBE)

Data for an optimized crystal structure of La4PtPb.

It has space group F-43m (No. 216), with a = 8.979 Å, b = 8.979 Å, c = 8.979 Å, α = 90.00°, β = 90.00° and γ = 90.00°. Symmetry generates all atoms from La at (0.125, 0.125, 0.125), Pt at (0.000, 0.000, 0.500) and Pb at (0.250, 0.250, 0.750).

The excess energy over the best structure of this formula in the dataset comes out at 746 meV/atom.


No. 3
## LaPtPb2 (PBE)

Data for an optimized crystal structure of LaPtPb2.

It has space group I-42d (No. 122), with a = 4.437 Å, b = 4.437 Å, c = 23.151 Å, α = 90.00°, β = 90.00° and γ = 90.00°. Symmetry generates all atoms from La at (0.000, 0.000, 0.000), Pt at (0.000, 0.000, 0.500) and Pb at (0.231, 0.250, 0.625).

The excess energy over the best structure of this formula in the dataset comes out at 206 meV/atom.


No. 4
## La3PtPb2 (PBE)

Data for an optimized crystal structure of La3PtPb2.

It has space group C2/c (No. 15), with a = 13.722 Å, b = 6.708 Å, c = 8.718 Å, α = 90.00°, β = 108.93° and γ = 90.00°. Symmetry generates all atoms from La at (0.000, 0.156, 0.250), La at (0.157, 0.394, 0.620), Pt at (0.000, 0.393, 0.750) and Pb at (0.152, 0.128, 0.013).

The excess energy over the best structure of this formula in the dataset comes out at 103 meV/atom.


No. 5
## LaPtPb (PBE)

Data for an optimized crystal structure of LaPtPb.

It has space group P-6m2 (No. 187), with a = 4.8438 Å, b = 4.8438 Å, c = 3.8156 Å, α = 90.00°, β = 90.00° and γ = 120.00°. Symmetry generates all atoms from La at (0.0000, 0.0000, 0.0000), Pt at (0.6667, 0.3333, 0.5000) and Pb at (0.3333, 0.6667, 0.5000).

Its total energy is -17.09 eV for the cell shown.


No. 6
## LaPt3Pb (PBE)

Data for an optimized crystal structure of LaPt3Pb.

It has space group Pm-3m (No. 221), with a = 5.086 Å, b = 5.086 Å, c = 5.086 Å, α = 90.00°, β = 90.00° and γ = 90.00°. Symmetry generates all atoms from La at (0.000, 0.000, 0.000), Pt at (0.000, 0.500, 0.500) and Pb at (0.500, 0.500, 0.500).

The excess energy over the best structure of this formula in the dataset comes out at 0 meV/atom.


No. 7
## LaPt3Pb (PBE)

Data for an optimized crystal structure of LaPt3Pb.

It has space group Pm-3m (No. 221), with a = 5.298 Å, b = 5.298 Å, c = 5.298 Å, α = 90.00°, β = 90.00° and γ = 90.00°. Symmetry generates all atoms from La at (0.000, 0.000, 0.000), Pt at (0.000, 0.000, 0.500) and Pb at (0.500, 0.500, 0.500).

The excess energy over the best structure of this formula in the dataset comes out at 493 meV/atom.


No. 8
## LaPtPb2 (PBE)

Data for an optimized crystal structure of LaPtPb2.

It has space group P4/mmm (No. 123), with a = 4.618 Å, b = 4.618 Å, c = 4.896 Å, α = 90.00°, β = 90.00° and γ = 90.00°. Symmetry generates all atoms from La at (0.000, 0.000, 0.000), Pt at (0.500, 0.500, 0.000) and Pb at (0.000, 0.500, 0.500).

The excess energy over the best structure of this formula in the dataset comes out at 95 meV/atom.


No. 9
## LaPt4Pb (PBE)

Data for an optimized crystal structure of LaPt4Pb.

It has space group F-43m (No. 216), with a = 7.805 Å, b = 7.805 Å, c = 7.805 Å, α = 90.00°, β = 90.00° and γ = 90.00°. Symmetry generates all atoms from La at (0.000, 0.000, 0.000), Pt at (0.125, 0.125, 0.625) and Pb at (0.250, 0.250, 0.250).

Its total energy is -148.84 eV for the cell shown.


No. 10
## LaPtPb2 (PBE)

Data for an optimized crystal structure of LaPtPb2.

It has space group Imm2 (No. 44), with a = 4.612 Å, b = 4.897 Å, c = 9.287 Å, α = 90.00°, β = 90.00° and γ = 90.00°. Symmetry generates all atoms from La at (0.000, 0.000, 0.000), Pt at (0.000, 0.500, 0.260), Pb at (0.000, 0.000, 0.525) and Pb at (0.000, 0.500, 0.761).

The excess energy over the best structure of this formula in the dataset comes out at 114 meV/atom.


No. 11
## LaPtPb2 (PBE)

Data for an optimized crystal structure of LaPtPb2.

It has space group I4/mmm (No. 139), with a = 4.382 Å, b = 4.382 Å, c = 11.478 Å, α = 90.00°, β = 90.00° and γ = 90.00°. Symmetry generates all atoms from La at (0.000, 0.000, 0.000), Pt at (0.000, 0.000, 0.500) and Pb at (0.000, 0.500, 0.250).

The excess energy over the best structure of this formula in the dataset comes out at 201 meV/atom.


No. 12
## La3Pt8Pb (PBE)

Data for an optimized crystal structure of La3Pt8Pb.

It has space group R3m (No. 160, hexagonal axes), with a = 5.5512 Å, b = 5.5512 Å, c = 27.0996 Å, α = 90.00°, β = 90.00° and γ = 120.00°. Symmetry generates all atoms from La at (0.0000, 0.0000, 0.0000), La at (0.0000, 0.0000, 0.1286), La at (0.0000, 0.0000, 0.5123), Pt at (0.0000, 0.0000, 0.3166), Pt at (0.0000, 0.0000, 0.8167), Pt at (0.0033, 0.5017, 0.0685), Pt at (0.1681, 0.3361, 0.8989) and Pb at (0.0000, 0.0000, 0.6378).

Its total energy is -234.24 eV for the cell shown.


Number 1: M_tot 0.00 μB/cell. Number 2: M_tot 0.08 μB/cell. Number 3: M_tot 0.00 μB/cell. Number 4: M_tot 0.00 μB/cell. Number 5: M_tot 0.00 μB/cell. Number 6: M_tot 0.00 μB/cell. Number 7: M_tot 0.00 μB/cell. Number 8: M_tot 0.00 μB/cell. Number 9: M_tot 0.00 μB/cell. Number 10: M_tot 0.00 μB/cell. Number 11: M_tot 0.00 μB/cell. Number 12: M_tot 0.00 μB/cell.